Material: LiCoTeO
Method: DFT, PBE+U
State: optimized geometry

```
data_LiCoTeO
_space_group_name_H-M_alt 'P m m a'
_space_group_IT_number 51
_cell_length_a 6.138
_cell_length_b 3.238
_cell_length_c 6.801
_cell_angle_alpha 90.00
_cell_angle_beta 90.00
_cell_angle_gamma 90.00
loop_
_space_group_symop_operation_xyz
'x,y,z'
'-x,-y,-z'
'-x+1/2,-y,z'
'x+1/2,y,-z'
'x+1/2,-y,-z'
'-x+1/2,y,z'
'-x,y,-z'
'x,-y,z'
loop_
_atom_site_label
_atom_site_fract_x
_atom_site_fract_y
_atom_site_fract_z
Li1 0.250 0.000 0.200
Co1 0.000 0.500 0.500
Te1 0.250 0.000 0.784
O1 0.250 0.500 0.340
```

Computed properties:
- Relative energy among the computed polymorphs: 0.0 meV/atom
- Total magnetic moment: 3.1 μB/f.u.